Zn2SiC: optimized geometry, PBE.

Magnetic moment = 0.00 μB per atom
Volume = 13.59 A^3/atom
Raw formation energy = 1.33 eV/atom

Cell: 6.0132 6.0132 6.0132 Å, 90.00 90.00 90.00°
With the nearest neighbours (Å) after each atom.
Space group Fm-3m (No. 225)
Asymmetric unit:
Zn 0.2500 0.2500 0.2500 x8  4 C 2.60, 4 Si 2.60
Si 0.0000 0.0000 0.0000 x4  8 Zn 2.60
C 0.0000 0.0000 0.5000 x4  8 Zn 2.60